First-principles (PBE with a Hubbard U) data for a relaxed structure of K2TbNi3F12, as listed in Alexandria.

Cell lengths 7.3540, 7.3540, 18.0931 Å; angles 90.00, 90.00, 120.00 degrees
Space group R-3m (No. 166, hexagonal axes)
Inequivalent atoms, fractional coordinates:
K  0.0000  0.0000  0.1226
Tb  0.0000  0.0000  0.5000
Ni  0.0000  0.5000  0.0000
F  0.0214  0.5107  0.1115
F  0.0739  0.5369  0.3362

Summary:
- total moment (μB/cell) = 15.00
- electronic total energy (eV/atom) = -4.696